1.
VASP calculation (GGA-PBE) on a relaxed structure of Al2CrGa.

abc: 3.836 3.913 3.913
angles: 90.00 90.00 90.00
Positions (direct):
Cr1 0.500 0.500 0.500
Al1 0.000 0.500 0.000
Al2 0.000 0.000 0.500
Ga1 0.500 0.000 0.000

Results
Total DFT energy (no corrections) (eV/atom): -5.10
Formation enthalpy at 0 K (eV per atom): -0.062
Crystal system: tetragonal

=====

2.
VASP calculation (GGA-PBE) on a relaxed structure of Al6CrGa2.

abc: 6.494 5.378 5.378
angles: 58.80 76.19 76.19
Positions (direct):
Al1 0.286 0.833 0.337
Al2 0.286 0.337 0.833
Al3 0.397 0.811 0.811
Al4 0.603 0.189 0.189
Al5 0.714 0.663 0.167
Al6 0.714 0.167 0.663
Cr1 0.000 0.000 0.000
Ga1 0.877 0.644 0.644
Ga2 0.123 0.356 0.356

Results
Total DFT energy (no corrections) (eV/atom): -4.11
Formation enthalpy at 0 K (eV per atom): 0.123
Crystal system: monoclinic

=====

3.
VASP calculation (GGA-PBE) on a relaxed structure of Al4Cr2Ga.

abc: 6.730 6.772 7.773
angles: 140.98 92.99 98.03
Positions (direct):
Al1 0.272 0.988 0.235
Al2 0.776 0.895 0.503
Al3 0.790 0.886 0.901
Al4 0.561 0.251 0.936
Al5 0.938 0.250 0.471
Al6 0.375 0.656 0.732
Al7 0.919 0.571 0.004
Al8 0.368 0.740 0.360
Ga1 0.033 0.652 0.484
Ga2 0.195 0.155 0.034
Cr1 0.593 0.774 0.110
Cr2 0.613 0.338 0.328
Cr3 0.224 0.302 0.776
Cr4 0.591 0.294 0.626

Results
Total DFT energy (no corrections) (eV/atom): -5.34
Formation enthalpy at 0 K (eV per atom): -0.022
Crystal system: triclinic

=====

4.
VASP calculation (GGA-PBE) on a relaxed structure of Al2CrGa.

abc: 2.750 2.750 9.799
angles: 81.93 81.93 60.00
Positions (direct):
Al1 0.095 0.095 0.715
Al2 0.905 0.905 0.285
Ga1 0.000 0.000 0.000
Cr1 0.500 0.500 0.500

Results
Total DFT energy (no corrections) (eV/atom): -4.91
Formation enthalpy at 0 K (eV per atom): 0.125
Crystal system: trigonal

=====

5.
VASP calculation (GGA-PBE) on a relaxed structure of AlCr4Ga.

abc: 4.193 4.194 4.769
angles: 90.00 116.08 90.00
Positions (direct):
Cr1 0.184 0.500 0.368
Cr2 0.816 0.500 0.632
Cr3 0.316 0.000 0.632
Cr4 0.684 0.000 0.368
Ga1 0.000 0.000 0.000
Al1 0.500 0.500 0.000

Results
Total DFT energy (no corrections) (eV/atom): -7.64
Formation enthalpy at 0 K (eV per atom): -0.092
Crystal system: orthorhombic

=====

6.
VASP calculation (GGA-PBE) on a relaxed structure of Al6CrGa12.

abc: 7.131 7.131 7.131
angles: 77.88 77.88 77.88
Positions (direct):
Ga1 0.455 0.802 0.482
Ga2 0.198 0.518 0.545
Ga3 0.802 0.482 0.455
Ga4 0.664 0.857 0.012
Ga5 0.857 0.012 0.664
Ga6 0.482 0.455 0.802
Ga7 0.518 0.545 0.198
Ga8 0.143 0.988 0.336
Ga9 0.545 0.198 0.518
Ga10 0.988 0.336 0.143
Ga11 0.012 0.664 0.857
Ga12 0.336 0.143 0.988
Al1 0.640 0.190 0.131
Al2 0.810 0.869 0.360
Al3 0.869 0.360 0.810
Al4 0.190 0.131 0.640
Al5 0.131 0.640 0.190
Al6 0.360 0.810 0.869
Cr1 0.000 0.000 0.000

Results
Total DFT energy (no corrections) (eV/atom): -3.56
Formation enthalpy at 0 K (eV per atom): 0.042
Crystal system: trigonal

=====

7.
VASP calculation (GGA-PBE) on a relaxed structure of Al2CrGa.

abc: 2.864 2.864 8.776
angles: 80.61 80.61 60.00
Positions (direct):
Al1 0.257 0.257 0.229
Al2 0.076 0.076 0.772
Cr1 0.666 0.666 0.001
Ga1 0.501 0.501 0.498

Results
Total DFT energy (no corrections) (eV/atom): -4.96
Formation enthalpy at 0 K (eV per atom): 0.071
Crystal system: trigonal

=====

8.
VASP calculation (GGA-PBE) on a relaxed structure of Al3CrGa.

abc: 4.712 4.712 4.712
angles: 90.00 90.00 90.00
Positions (direct):
Ga1 0.000 0.000 0.000
Al1 0.500 0.000 0.000
Al2 0.000 0.500 0.000
Al3 0.000 0.000 0.500
Cr1 0.500 0.500 0.500

Results
E above lowest polymorph (meV per atom): 1155
Total DFT energy (no corrections) (eV/atom): -3.50
Formation enthalpy at 0 K (eV per atom): 1.275
Crystal system: cubic

=====

9.
VASP calculation (GGA-PBE) on a relaxed structure of Al2CrGa2.

abc: 3.569 3.569 7.039
angles: 75.31 75.31 90.00
Positions (direct):
Al1 0.750 0.250 0.500
Al2 0.250 0.750 0.500
Ga1 0.407 0.407 0.185
Ga2 0.593 0.593 0.815
Cr1 0.000 0.000 0.000

Results
E above lowest polymorph (meV per atom): 284
Total DFT energy (no corrections) (eV/atom): -4.10
Formation enthalpy at 0 K (eV per atom): 0.530
Crystal system: tetragonal

=====

10.
VASP calculation (GGA-PBE) on a relaxed structure of AlCr2Ga2.

abc: 6.545 6.545 3.226
angles: 90.00 90.00 90.00
Positions (direct):
Ga1 0.369 0.869 0.000
Ga2 0.631 0.131 0.000
Ga3 0.869 0.631 0.000
Ga4 0.131 0.369 0.000
Al1 0.500 0.500 0.000
Al2 0.000 0.000 0.000
Cr1 0.330 0.170 0.500
Cr2 0.670 0.830 0.500
Cr3 0.170 0.670 0.500
Cr4 0.830 0.330 0.500

Results
E above lowest polymorph (meV per atom): 31
Total DFT energy (no corrections) (eV/atom): -5.66
Formation enthalpy at 0 K (eV per atom): 0.151
Crystal system: tetragonal

=====

11.
VASP calculation (GGA-PBE) on a relaxed structure of AlCr2Ga2.

abc: 6.273 6.273 3.719
angles: 90.00 90.00 90.00
Positions (direct):
Ga1 0.170 0.670 0.500
Ga2 0.830 0.330 0.500
Ga3 0.330 0.170 0.500
Ga4 0.670 0.830 0.500
Cr1 0.125 0.375 0.000
Cr2 0.375 0.875 0.000
Cr3 0.875 0.625 0.000
Cr4 0.625 0.125 0.000
Al1 0.500 0.500 0.000
Al2 0.000 0.000 0.000

Results
E above lowest polymorph (meV per atom): 0
Total DFT energy (no corrections) (eV/atom): -5.69
Formation enthalpy at 0 K (eV per atom): 0.121
Crystal system: tetragonal

=====

12.
VASP calculation (GGA-PBE) on a relaxed structure of Al12Cr6Ga.

abc: 7.175 7.175 7.175
angles: 109.47 109.47 109.47
Positions (direct):
Cr1 0.872 0.372 0.500
Cr2 0.500 0.872 0.372
Cr3 0.628 0.500 0.128
Cr4 0.128 0.628 0.500
Cr5 0.372 0.500 0.872
Cr6 0.500 0.128 0.628
Al1 0.730 0.917 0.187
Al2 0.917 0.187 0.730
Al3 0.187 0.270 0.457
Al4 0.813 0.730 0.543
Al5 0.270 0.457 0.187
Al6 0.187 0.730 0.917
Al7 0.730 0.543 0.813
Al8 0.813 0.270 0.083
Al9 0.543 0.813 0.730
Al10 0.270 0.083 0.813
Al11 0.083 0.813 0.270
Al12 0.457 0.187 0.270
Ga1 0.000 0.000 0.000

Results
Total DFT energy (no corrections) (eV/atom): -5.52
Formation enthalpy at 0 K (eV per atom): 0.038
Crystal system: cubic